Record 1
Here is an optimized crystal structure of Dy2Co3TcB12 from Alexandria via LeMat-Bulk. Energies are from PBE.

a b c (Å): 5.3287 5.3287 23.2933
angles (deg): 90.00 90.00 120.00
Space group R-3m (No. 166, hexagonal axes)
Unique sites:
Dy 0.0000 0.0000 0.1358 (multiplicity 6)
Co 0.0000 0.5000 0.0000 (multiplicity 9)
Tc 0.0000 0.0000 0.5000 (multiplicity 3)
B 0.0884 0.5442 0.0883 (multiplicity 18)
B 0.1066 0.2132 0.7350 (multiplicity 18)

Calculated values
**Formation energy from the elements**: 63 meV per atom
**Calculated density**: 6.34 g cm⁻³

---

Record 2
Here is an optimized crystal structure of CuAsP2 from Alexandria via LeMat-Bulk. Energies are from PBE.

a b c (Å): 2.641 4.445 5.993
angles (deg): 90.00 98.32 90.00
Space group Pm (No. 6)
Unique sites:
Cu 0.000 0.000 0.000 (multiplicity 1)
As 0.758 0.500 0.831 (multiplicity 1)
P 0.605 0.000 0.335 (multiplicity 1)
P 0.642 0.500 0.436 (multiplicity 1)

Calculated values
**Formation energy from the elements**: 165 meV per atom
**Calculated density**: 4.78 g cm⁻³

---

Record 3
Here is an optimized crystal structure of Nb2VTe5 from Alexandria via LeMat-Bulk. Energies are from PBE.

a b c (Å): 5.393 12.974 11.976
angles (deg): 90.00 90.00 90.00
Space group Cmcm (No. 63)
Unique sites:
Nb 0.000 0.150 0.117 (multiplicity 8)
V 0.000 0.234 0.750 (multiplicity 4)
Te 0.000 0.061 0.613 (multiplicity 8)
Te 0.000 0.326 0.250 (multiplicity 4)
Te 0.000 0.327 0.549 (multiplicity 8)

Calculated values
**Calculated density**: 6.93 g cm⁻³
**Total energy**: -5.746 eV/atom